Here is a relaxed ErAgTePbS2 crystal from the Open Quantum Materials Database. Energies are from PBE.

Magnetization   0.000 μB/atom
Volume   638.67 Å³/cell
Energy   -4.6343 eV per atom

```
data_ErAgTePbS2
_symmetry_space_group_name_H-M 'C m c m'
_symmetry_Int_Tables_number 63
_symmetry_space_group_name_Hall '-C 2c 2'
_cell_length_a 4.0628
_cell_length_b 14.1285
_cell_length_c 11.1264
_cell_angle_alpha 90.00
_cell_angle_beta 90.00
_cell_angle_gamma 90.00
loop_
_atom_site_label
_atom_site_type_symbol
_atom_site_fract_x
_atom_site_fract_y
_atom_site_fract_z
Er1 Er 0.0000 0.0000 0.0000
Ag1 Ag 0.0000 0.4799 0.2500
Te1 Te 0.0000 0.1153 0.2500
Pb1 Pb 0.0000 0.2070 0.7500
S1 S 0.0000 0.3780 0.0638
```